LiCoO4 PBE with a Hubbard U optimized geometry; calculated volume = 112.6 Å³/cell; total energy = -4.892 eV per atom
1.0
6.2496 0.0000 0.0000
0.0000 6.3804 0.0000
-0.0841 0.0000 2.8249
Li Co O
2 2 8
direct
0.0000 0.0000 0.0000 Li
0.5000 0.5000 0.0000 Li
0.0155 0.5000 0.4362 Co
0.5155 0.0000 0.4362 Co
0.2327 0.0000 0.5606 O
0.2798 0.5000 0.4756 O
0.4805 0.1869 0.9466 O
0.4805 0.8131 0.9466 O
0.7327 0.5000 0.5606 O
0.7798 0.0000 0.4756 O
0.9805 0.3131 0.9466 O
0.9805 0.6869 0.9466 O